# Tl2CO4 (PBE, relaxed)
# DFT total energy = -5.59 eV per atom
# Theoretical density = 6.75 g/cm³
data_Tl2CO4
_chemical_formula_sum 'Tl4 C2 O8'
_symmetry_space_group_name_H-M 'C 1 m 1'
_symmetry_Int_Tables_number 8
_cell_length_a 7.727
_cell_length_b 7.738
_cell_length_c 5.543
_cell_angle_alpha 90.00
_cell_angle_beta 134.01
_cell_angle_gamma 90.00
loop_
_symmetry_equiv_pos_as_xyz
'x,y,z'
'x,-y,z'
'x+1/2,y+1/2,z'
'x+1/2,-y+1/2,z'
loop_
_atom_site_label
_atom_site_fract_x
_atom_site_fract_y
_atom_site_fract_z
Tl1 0.000 0.250 0.000
C1 0.000 0.000 0.500
O1 0.057 0.000 0.307
O2 0.096 0.153 0.691
O3 0.251 0.500 0.310

---

# TlCO (PBE, relaxed)
# DFT total energy = -5.56 eV per atom
# Theoretical density = 6.22 g/cm³
data_TlCO
_chemical_formula_sum 'Tl4 C4 O4'
_symmetry_space_group_name_H-M 'P n m a'
_symmetry_Int_Tables_number 62
_cell_length_a 5.926
_cell_length_b 3.780
_cell_length_c 11.078
_cell_angle_alpha 90.00
_cell_angle_beta 90.00
_cell_angle_gamma 90.00
loop_
_symmetry_equiv_pos_as_xyz
'x,y,z'
'-x,-y,-z'
'-x+1/2,-y,z+1/2'
'x+1/2,y,-z+1/2'
'x+1/2,-y+1/2,-z+1/2'
'-x+1/2,y+1/2,z+1/2'
'-x,y+1/2,-z'
'x,-y+1/2,z'
loop_
_atom_site_label
_atom_site_fract_x
_atom_site_fract_y
_atom_site_fract_z
Tl1 0.048 0.250 0.134
C1 0.065 0.250 0.676
O1 0.079 0.750 0.397

---

- Number 2 is which compound?
  TlCO

---

- Look up the DFT total energy of the first one.
  -5.59 eV per atom